Computed, not measured: a relaxed VPRu3 crystal at the PBE-GGA level of DFT.

Output
energy relative to the lowest polymorph listed for this composition = 1.008 eV per atom
energy of formation = 6.90 eV/f.u.
total magnetic moment = 0.0 μB per cell

Unit cell a=4.440 b=4.440 c=4.440 alpha=90.00 beta=90.00 gamma=90.00
Space group Pm-3m (No. 221)
Unique sites:
1 V 0.000 0.000 0.000 (multiplicity 1)
2 P 0.500 0.500 0.500 (multiplicity 1)
3 Ru 0.000 0.000 0.500 (multiplicity 3)